Record 1
Material: Y3Se4
Method: DFT, GGA-PBE
State: optimized geometry

Polymorph energy (0 for the lowest one)   0.011 eV per atom

Cell lengths 7.8280, 7.8280, 7.1540 Å; angles 115.67, 115.67, 30.37 degrees
Fractional positions:
Y 0.0000 0.0000 0.0000
Y 0.2661 0.2661 0.2765
Y 0.7339 0.7339 0.7235
Se 0.1227 0.1227 0.4430
Se 0.3649 0.3649 0.0099
Se 0.6351 0.6351 0.9901
Se 0.8773 0.8773 0.5570

=====

Record 2
Material: Y4Se3
Method: DFT, GGA-PBE
State: optimized geometry

Cell lengths 13.4335, 13.4335, 13.4335 Å; angles 17.03, 17.03, 17.03 degrees
Fractional positions:
Y 0.1211 0.1211 0.1211
Y 0.3692 0.3692 0.3692
Y 0.6308 0.6308 0.6308
Y 0.8789 0.8789 0.8789
Se 0.2539 0.2539 0.2539
Se 0.5000 0.5000 0.5000
Se 0.7461 0.7461 0.7461

=====

Record 3
Material: Y3Se2
Method: DFT, GGA-PBE
State: optimized geometry

Polymorph energy (0 for the lowest one)   0.229 eV per atom

Cell lengths 7.5338, 6.9349, 9.1878 Å; angles 53.53, 47.75, 78.72 degrees
Fractional positions:
Y 0.0000 0.0000 0.0000
Y 0.2500 0.2500 0.2500
Y 0.4000 0.6069 0.6823
Y 0.5677 0.9393 0.8500
Y 0.6069 0.4000 0.3107
Y 0.9393 0.5677 0.6431
Se 0.0167 0.8386 0.7652
Se 0.4848 0.8705 0.2333
Se 0.8386 0.0167 0.3795
Se 0.8705 0.4848 0.4114

=====

E_form (uncorrected)
In order: -1.8445 -1.4947 -1.1792
Unit: eV per atom